[1]
VASP calculation (PBE) on crystalline CeFe3B3 at its relaxed geometry.

```
data_CeFe3B3
_cell_length_a 5.5348
_cell_length_b 5.5348
_cell_length_c 5.5348
_cell_angle_alpha 90.00
_cell_angle_beta 90.00
_cell_angle_gamma 90.00
_symmetry_space_group_name_H-M 'P m -3 n'
_symmetry_Int_Tables_number 223
_symmetry_space_group_name_Hall '-P 4n 2 3'
loop_
_atom_site_label
_atom_site_fract_x
_atom_site_fract_y
_atom_site_fract_z
Ce1 0.0000 0.0000 0.0000
Fe1 0.0000 0.2500 0.5000
B1 0.0000 0.5000 0.2500
```

Summary:
* total DFT energy (no corrections): -7.38 eV per atom
* D(E_F): 16.8 states/eV/cell

=====

[2]
VASP calculation (PBE) on crystalline TiReSn2I at its relaxed geometry.

```
data_TiReSn2I
_cell_length_a 5.2617
_cell_length_b 5.2617
_cell_length_c 4.9186
_cell_angle_alpha 90.00
_cell_angle_beta 90.00
_cell_angle_gamma 90.00
_symmetry_space_group_name_H-M 'P 4/m m m'
_symmetry_Int_Tables_number 123
_symmetry_space_group_name_Hall '-P 4 2'
loop_
_atom_site_label
_atom_site_fract_x
_atom_site_fract_y
_atom_site_fract_z
Ti1 0.0000 0.0000 0.0000
Re1 0.0000 0.0000 0.5000
Sn1 0.0000 0.5000 0.5000
I1 0.5000 0.5000 0.0000
```

Summary:
* total DFT energy (no corrections): -5.63 eV per atom
* D(E_F): 4.4 states/eV/cell